DFT (PBE-GGA) results for a relaxed ZnTePdN2 crystal.

Structure (POSCAR):
```
ZnTePdN2
1.0
-2.2320 -0.9687 3.0447
-1.0036 -3.3135 -1.7900
4.7664 -2.8426 2.5897
Pd N Zn Te
1 2 1 1
direct
0.5000 0.5000 0.5000 Pd
0.0000 0.5000 0.0000 N
0.5000 0.0000 0.0000 N
0.0000 0.0000 0.0000 Zn
0.0000 0.0000 0.5000 Te
```

Output
V   93.0 Å³/cell
Distance to the lowest polymorph of the same formula   0.80 eV/f.u.
E_form (uncorrected)   1.427 eV per atom
Theoretical density   5.84 Mg/m³
Final energy   -19.13 eV for the cell shown
N(E_F)   3.7 states/eV per cell
SG   No. 123